Below is a PBEsol-optimized structure of LaHg2Br, with properties calculated at the meta-GGA SCAN level.

Geometry as CIF:
```
data_LaHg2Br
_symmetry_space_group_name_H-M 'P 1'
_symmetry_Int_Tables_number 1
_symmetry_space_group_name_Hall 'P 1'
_cell_length_a 4.2960
_cell_length_b 4.2960
_cell_length_c 5.4448
_cell_angle_alpha 90.00
_cell_angle_beta 90.00
_cell_angle_gamma 90.00
loop_
_atom_site_label
_atom_site_type_symbol
_atom_site_fract_x
_atom_site_fract_y
_atom_site_fract_z
La1 La 0.5000 0.5000 0.5000
Hg1 Hg 0.5000 0.0000 0.0000
Hg2 Hg 0.0000 0.5000 0.0000
Br1 Br 0.0000 0.0000 0.5000
```

Calculated values
Energy above the lowest structure with this stoichiometry, eV per atom: 0.018
Total moment, Bohr magnetons per cell: 0.0
Formation energy without anion corrections, eV/atom: -0.8275
SG: P4/mmm (123)



Below is a PBEsol-optimized structure of HgGeI2N, with properties calculated at the meta-GGA SCAN level.

Geometry as CIF:
```
data_HgGeI2N
_symmetry_space_group_name_H-M 'P 1'
_symmetry_Int_Tables_number 1
_symmetry_space_group_name_Hall 'P 1'
_cell_length_a 3.4660
_cell_length_b 6.0014
_cell_length_c 6.0014
_cell_angle_alpha 90.00
_cell_angle_beta 90.00
_cell_angle_gamma 90.00
loop_
_atom_site_label
_atom_site_type_symbol
_atom_site_fract_x
_atom_site_fract_y
_atom_site_fract_z
Hg1 Hg 0.5000 0.5000 0.5000
N1 N 0.5000 0.0000 0.0000
I1 I 0.0000 0.0000 0.5000
Ge1 Ge 0.0000 0.0000 0.0000
I2 I 0.0000 0.5000 0.0000
```

Calculated values
Total moment, Bohr magnetons per cell: 0.0
Formation energy without anion corrections, eV/atom: 0.5493
SG: P4/mmm (123)



Below is a PBEsol-optimized structure of YCuTc2, with properties calculated at the meta-GGA SCAN level.

Geometry as CIF:
```
data_YCuTc2
_symmetry_space_group_name_H-M 'P 1'
_symmetry_Int_Tables_number 1
_symmetry_space_group_name_Hall 'P 1'
_cell_length_a 2.7678
_cell_length_b 4.9295
_cell_length_c 5.3695
_cell_angle_alpha 115.27
_cell_angle_beta 101.56
_cell_angle_gamma 97.17
loop_
_atom_site_label
_atom_site_type_symbol
_atom_site_fract_x
_atom_site_fract_y
_atom_site_fract_z
Cu1 Cu 0.0000 0.5000 0.0000
Tc1 Tc 0.0000 0.0000 0.5000
Tc2 Tc 0.5000 0.5000 0.5000
Y1 Y 0.5000 0.0000 0.0000
```

Calculated values
Total moment, Bohr magnetons per cell: 0.0
Formation energy, eV/atom: 0.35
SG: C2/m (12)



Below is a PBEsol-optimized structure of ZrTl2Os, with properties calculated at the meta-GGA SCAN level.

Geometry as CIF:
```
data_ZrTl2Os
_symmetry_space_group_name_H-M 'P 1'
_symmetry_Int_Tables_number 1
_symmetry_space_group_name_Hall 'P 1'
_cell_length_a 3.2080
_cell_length_b 3.2204
_cell_length_c 8.6019
_cell_angle_alpha 101.01
_cell_angle_beta 90.00
_cell_angle_gamma 90.00
loop_
_atom_site_label
_atom_site_type_symbol
_atom_site_fract_x
_atom_site_fract_y
_atom_site_fract_z
Tl1 Tl 0.5000 0.3195 0.2742
Tl2 Tl 0.0000 0.1688 0.9521
Os1 Os 0.5000 0.5491 0.7216
Zr1 Zr 0.0000 0.9625 0.5521
```

Calculated values
Energy above the lowest structure with this stoichiometry, eV per atom: 0.000
Total moment, Bohr magnetons per cell: 0.0
Formation energy, eV/atom: 0.07
SG: Pm (6)



Below is a PBEsol-optimized structure of CaAsC3, with properties calculated at the meta-GGA SCAN level.

Geometry as CIF:
```
data_CaAsC3
_symmetry_space_group_name_H-M 'P 1'
_symmetry_Int_Tables_number 1
_symmetry_space_group_name_Hall 'P 1'
_cell_length_a 3.9719
_cell_length_b 3.9719
_cell_length_c 3.9719
_cell_angle_alpha 90.00
_cell_angle_beta 90.00
_cell_angle_gamma 90.00
loop_
_atom_site_label
_atom_site_type_symbol
_atom_site_fract_x
_atom_site_fract_y
_atom_site_fract_z
C1 C 0.0000 0.5000 0.0000
C2 C 0.0000 0.0000 0.5000
C3 C 0.5000 0.0000 0.0000
Ca1 Ca 0.5000 0.5000 0.5000
As1 As 0.0000 0.0000 0.0000
```

Calculated values
Total moment, Bohr magnetons per cell: 0.0
Formation energy, eV/atom: 1.89
SG: Pm-3m (221)



Below is a PBEsol-optimized structure of FeAgSb2, with properties calculated at the meta-GGA SCAN level.

Geometry as CIF:
```
data_FeAgSb2
_symmetry_space_group_name_H-M 'P 1'
_symmetry_Int_Tables_number 1
_symmetry_space_group_name_Hall 'P 1'
_cell_length_a 3.3200
_cell_length_b 3.3200
_cell_length_c 8.2822
_cell_angle_alpha 78.44
_cell_angle_beta 78.44
_cell_angle_gamma 60.00
loop_
_atom_site_label
_atom_site_type_symbol
_atom_site_fract_x
_atom_site_fract_y
_atom_site_fract_z
Fe1 Fe 0.0000 0.0000 0.0000
Ag1 Ag 0.5000 0.5000 0.5000
Sb1 Sb 0.2613 0.2613 0.2160
Sb2 Sb 0.7387 0.7387 0.7840
```

Calculated values
Energy above the lowest structure with this stoichiometry, eV per atom: 0.000
Total moment, Bohr magnetons per cell: 2.0
Formation energy without anion corrections, eV/atom: 0.2048
SG: R-3m (166)



Copy entry 6 word for word.
Below is a PBEsol-optimized structure of FeAgSb2, with properties calculated at the meta-GGA SCAN level.

Geometry as CIF:
```
data_FeAgSb2
_symmetry_space_group_name_H-M 'P 1'
_symmetry_Int_Tables_number 1
_symmetry_space_group_name_Hall 'P 1'
_cell_length_a 3.3200
_cell_length_b 3.3200
_cell_length_c 8.2822
_cell_angle_alpha 78.44
_cell_angle_beta 78.44
_cell_angle_gamma 60.00
loop_
_atom_site_label
_atom_site_type_symbol
_atom_site_fract_x
_atom_site_fract_y
_atom_site_fract_z
Fe1 Fe 0.0000 0.0000 0.0000
Ag1 Ag 0.5000 0.5000 0.5000
Sb1 Sb 0.2613 0.2613 0.2160
Sb2 Sb 0.7387 0.7387 0.7840
```

Calculated values
Energy above the lowest structure with this stoichiometry, eV per atom: 0.000
Total moment, Bohr magnetons per cell: 2.0
Formation energy without anion corrections, eV/atom: 0.2048
SG: R-3m (166)



> Look up the total moment of the third one.

0.0 Bohr magnetons per cell